# Pr8Os3Br3Cl, relaxed, DFT GGA-PBE
data_Pr8Os3Br3Cl
_chemical_formula_sum 'Pr8 Os3 Br3 Cl1'
_cell_length_a 8.5474
_cell_length_b 8.5504
_cell_length_c 8.9062
_cell_angle_alpha 118.68
_cell_angle_beta 90.00
_cell_angle_gamma 119.99
_symmetry_space_group_name_H-M 'P 1'
_symmetry_Int_Tables_number 1
loop_
_symmetry_equiv_pos_as_xyz
'x,y,z'
loop_
_atom_site_label
_atom_site_type_symbol
_atom_site_fract_x
_atom_site_fract_y
_atom_site_fract_z
_atom_site_occupancy
Pr1 Pr 0.2657 0.5314 0.2973 1
Pr2 Pr 0.7343 0.4686 0.7027 1
Pr3 Pr 0.7486 0.4971 0.2902 1
Pr4 Pr 0.2514 0.5029 0.7098 1
Pr5 Pr 0.7486 0.0413 0.2902 1
Pr6 Pr 0.2514 0.9587 0.7098 1
Pr7 Pr 0.2928 0.0413 0.2902 1
Pr8 Pr 0.7072 0.9587 0.7098 1
Os1 Os 0.5000 0.0000 0.5000 1
Os2 Os 0.5000 0.5000 0.5000 1
Os3 Os 0.0000 0.5000 0.5000 1
Br1 Br 0.0000 0.0000 0.0000 1
Br2 Br 0.0000 0.5000 0.0000 1
Br3 Br 0.5000 0.5000 0.0000 1
Cl1 Cl 0.0000 0.0000 0.5000 1
# Total magnetization ... 0.000 μB per cell
# Raw formation energy ... -10.214 eV/f.u.
# E_tot ... -5.93 eV per atom

---

# Tb2NdGa2Ag2, relaxed, DFT GGA-PBE
data_Tb2NdGa2Ag2
_chemical_formula_sum 'Tb2 Nd1 Ga2 Ag2'
_cell_length_a 4.6600
_cell_length_b 4.6600
_cell_length_c 9.4011
_cell_angle_alpha 75.65
_cell_angle_beta 75.65
_cell_angle_gamma 60.00
_symmetry_space_group_name_H-M 'P 1'
_symmetry_Int_Tables_number 1
loop_
_symmetry_equiv_pos_as_xyz
'x,y,z'
loop_
_atom_site_label
_atom_site_type_symbol
_atom_site_fract_x
_atom_site_fract_y
_atom_site_fract_z
_atom_site_occupancy
Tb1 Tb 0.1265 0.1265 0.6204 1
Tb2 Tb 0.8735 0.8735 0.3796 1
Nd1 Nd 0.0000 0.0000 0.0000 1
Ga1 Ga 0.7441 0.7441 0.7676 1
Ga2 Ga 0.2559 0.2559 0.2324 1
Ag1 Ag 0.5966 0.5966 0.2103 1
Ag2 Ag 0.4034 0.4034 0.7897 1
# Energy of formation from the pure elements ... -2.65 eV/f.u.
# Total magnetization ... 0.000 μB per cell
# E_tot ... -4.06 eV per atom

---

# Sr2In4Pd3Pt, relaxed, DFT GGA-PBE
data_Sr2In4Pd3Pt
_chemical_formula_sum 'Sr2 In4 Pd3 Pt1'
_cell_length_a 4.7290
_cell_length_b 4.7290
_cell_length_c 10.7725
_cell_angle_alpha 90.00
_cell_angle_beta 90.00
_cell_angle_gamma 90.00
_symmetry_space_group_name_H-M 'P 1'
_symmetry_Int_Tables_number 1
loop_
_symmetry_equiv_pos_as_xyz
'x,y,z'
loop_
_atom_site_label
_atom_site_type_symbol
_atom_site_fract_x
_atom_site_fract_y
_atom_site_fract_z
_atom_site_occupancy
Sr1 Sr 0.5000 0.0000 0.2659 1
Sr2 Sr 0.0000 0.5000 0.7341 1
In1 In 0.5000 0.5000 0.0000 1
In2 In 0.0000 0.0000 0.0000 1
In3 In 0.5000 0.0000 0.6225 1
In4 In 0.0000 0.5000 0.3775 1
Pd1 Pd 0.0000 0.0000 0.5000 1
Pd2 Pd 0.5000 0.0000 0.8698 1
Pd3 Pd 0.0000 0.5000 0.1302 1
Pt1 Pt 0.5000 0.5000 0.5000 1
# Energy of formation from the pure elements ... -6.25 eV/f.u.
# Total magnetization ... 0.000 μB per cell
# E_tot ... -4.22 eV per atom

---

# Tm2PuTl3Se6, relaxed, DFT GGA-PBE
data_Tm2PuTl3Se6
_chemical_formula_sum 'Tm2 Pu1 Tl3 Se6'
_cell_length_a 7.2420
_cell_length_b 7.2420
_cell_length_c 8.1065
_cell_angle_alpha 98.56
_cell_angle_beta 98.56
_cell_angle_gamma 119.99
_symmetry_space_group_name_H-M 'P 1'
_symmetry_Int_Tables_number 1
loop_
_symmetry_equiv_pos_as_xyz
'x,y,z'
loop_
_atom_site_label
_atom_site_type_symbol
_atom_site_fract_x
_atom_site_fract_y
_atom_site_fract_z
_atom_site_occupancy
Tm1 Tm 0.3331 0.6669 0.0000 1
Tm2 Tm 0.6669 0.3331 0.0000 1
Pu1 Pu 0.0000 0.0000 0.0000 1
Tl1 Tl 0.1652 0.8348 0.5000 1
Tl2 Tl 0.8348 0.1652 0.5000 1
Tl3 Tl 0.5000 0.5000 0.5000 1
Se1 Se 0.9323 0.5919 0.7968 1
Se2 Se 0.7269 0.7269 0.2018 1
Se3 Se 0.0677 0.4081 0.2032 1
Se4 Se 0.5919 0.9323 0.7968 1
Se5 Se 0.2731 0.2731 0.7982 1
Se6 Se 0.4081 0.0677 0.2032 1
# Total magnetization ... 5.000 μB per cell
# Raw formation energy ... -15.234 eV/f.u.
# E_tot ... -5.54 eV per atom

---

# Hg2TeMoOs, relaxed, DFT GGA-PBE
data_Hg2TeMoOs
_chemical_formula_sum 'Hg2 Te1 Mo1 Os1'
_cell_length_a 5.3396
_cell_length_b 4.7265
_cell_length_c 5.3396
_cell_angle_alpha 90.00
_cell_angle_beta 90.00
_cell_angle_gamma 90.00
_symmetry_space_group_name_H-M 'P 1'
_symmetry_Int_Tables_number 1
loop_
_symmetry_equiv_pos_as_xyz
'x,y,z'
loop_
_atom_site_label
_atom_site_type_symbol
_atom_site_fract_x
_atom_site_fract_y
_atom_site_fract_z
_atom_site_occupancy
Mo1 Mo 0.0000 0.0000 0.0000 1
Te1 Te 0.5000 0.5000 0.5000 1
Os1 Os 0.0000 0.5000 0.0000 1
Hg1 Hg 0.0000 0.0000 0.5000 1
Hg2 Hg 0.5000 0.0000 0.0000 1
# Total magnetization ... 0.380 μB per cell
# Raw formation energy ... 7.033 eV/f.u.
# E_tot ... -3.75 eV per atom

---

# Na2MgF, relaxed, DFT GGA-PBE
data_Na2MgF
_chemical_formula_sum 'Na2 Mg1 F1'
_cell_length_a 5.1782
_cell_length_b 5.1782
_cell_length_c 5.1782
_cell_angle_alpha 60.00
_cell_angle_beta 60.00
_cell_angle_gamma 60.00
_symmetry_space_group_name_H-M 'P 1'
_symmetry_Int_Tables_number 1
loop_
_symmetry_equiv_pos_as_xyz
'x,y,z'
loop_
_atom_site_label
_atom_site_type_symbol
_atom_site_fract_x
_atom_site_fract_y
_atom_site_fract_z
_atom_site_occupancy
Na1 Na 0.2500 0.2500 0.2500 1
Na2 Na 0.7500 0.7500 0.7500 1
Mg1 Mg 0.5000 0.5000 0.5000 1
F1 F 0.0000 0.0000 0.0000 1
# Total magnetization ... 0.000 μB per cell
# Raw formation energy ... -2.410 eV/f.u.
# Energy above the lowest structure with this stoichiometry ... 0.489 eV per atom
# E_tot ... -2.13 eV per atom

---

- E_tot of number 5 (Hg2TeMoOs)?
  -3.75 eV per atom